1.
Here is a geometry-optimized TcPPt structure from the Alexandria database. Energies are from PBE-GGA.

Unit cell a=3.9988 b=3.9988 c=3.9988 alpha=60.00 beta=60.00 gamma=60.00
Fractional coordinates of all 3 atoms:
1 P 0.7500 0.7500 0.7500
2 Tc 0.5000 0.5000 0.5000
3 Pt 0.0000 0.0000 0.0000

Results
relative energy among the computed polymorphs	0.0	kJ/mol of atoms
size of the total moment	0.00	μB/f.u.
ΔH_f (0 K)	-0.3811	eV per atom
DOS(E_F)	0.71	states/eV/atom
total energy	-7.653	eV/atom

***

2.
Here is a geometry-optimized TcPPt2 structure from the Alexandria database. Energies are from PBE-GGA.

Unit cell a=4.8344 b=4.8344 c=2.7932 alpha=90.00 beta=90.00 gamma=114.29
Fractional coordinates of all 4 atoms:
1 Tc 0.0000 0.0000 0.5000
2 P 0.5000 0.5000 0.5000
3 Pt 0.5000 0.0000 0.0000
4 Pt 0.0000 0.5000 0.0000

Results
size of the total moment	0.00	μB/f.u.
ΔH_f (0 K)	0.0620	eV per atom
DOS(E_F)	0.71	states/eV/atom
total energy	-6.902	eV/atom

***

3.
Here is a geometry-optimized Tc2PPt structure from the Alexandria database. Energies are from PBE-GGA.

Unit cell a=2.8905 b=2.8905 c=6.6689 alpha=90.00 beta=90.00 gamma=90.00
Fractional coordinates of all 4 atoms:
1 Tc 0.0000 0.0000 0.2063
2 Tc 0.0000 0.0000 0.7937
3 Pt 0.5000 0.5000 0.5000
4 P 0.5000 0.5000 0.0000

Results
size of the total moment	0.00	μB/f.u.
ΔH_f (0 K)	-0.2826	eV per atom
DOS(E_F)	1.09	states/eV/atom
total energy	-8.328	eV/atom

***

4.
Here is a geometry-optimized TcPPt2 structure from the Alexandria database. Energies are from PBE-GGA.

Unit cell a=5.7531 b=5.7531 c=3.6430 alpha=90.00 beta=90.00 gamma=150.65
Fractional coordinates of all 4 atoms:
1 Pt 0.1771 0.8229 0.5000
2 Pt 0.8149 0.1851 0.0000
3 P 0.9593 0.0407 0.5000
4 Tc 0.5302 0.4698 0.0000

Results
size of the total moment	0.00	μB/f.u.
ΔH_f (0 K)	-0.2221	eV per atom
DOS(E_F)	1.00	states/eV/atom
total energy	-7.187	eV/atom

***

5.
Here is a geometry-optimized TcPPt structure from the Alexandria database. Energies are from PBE-GGA.

Unit cell a=5.2785 b=5.2785 c=5.2785 alpha=147.34 beta=147.34 gamma=46.86
Fractional coordinates of all 3 atoms:
1 Pt 0.3447 0.3447 0.0000
2 Tc 0.6388 0.6388 0.0000
3 P 0.0165 0.0165 0.0000

Results
relative energy among the computed polymorphs	22.9	kJ/mol of atoms
size of the total moment	0.00	μB/f.u.
ΔH_f (0 K)	-0.1433	eV per atom
DOS(E_F)	1.13	states/eV/atom
total energy	-7.416	eV/atom

***

6.
Here is a geometry-optimized Tc2PPt structure from the Alexandria database. Energies are from PBE-GGA.

Unit cell a=3.7727 b=3.7727 c=4.0294 alpha=90.00 beta=90.00 gamma=90.00
Fractional coordinates of all 4 atoms:
1 Tc 0.5000 0.0000 0.0000
2 Tc 0.0000 0.5000 0.0000
3 Pt 0.0000 0.0000 0.5000
4 P 0.5000 0.5000 0.5000

Results
size of the total moment	0.00	μB/f.u.
ΔH_f (0 K)	0.1825	eV per atom
DOS(E_F)	1.31	states/eV/atom
total energy	-7.863	eV/atom

***

- Which value of ΔH_f (0 K) does entry 6 give?
  0.1825 eV per atom